Entry 1:
CaTcGe2Ru (PBE, optimized geometry); ΔE_f = -0.378 eV/atom
1.0
4.208 0.000 0.000
0.000 4.208 0.000
-2.104 -2.104 5.247
Ge Ca Ru Tc
2 1 1 1
direct
0.625 0.625 0.251 Ge
0.375 0.375 0.749 Ge
0.000 0.000 0.000 Ca
0.750 0.250 0.500 Ru
0.250 0.750 0.500 Tc

***

Entry 2:
Ac2TlO6 (PBE, optimized geometry); E_form (uncorrected) = -1.9046 eV/atom; distance to the lowest polymorph of the same formula = 0.00 eV per formula unit
1.0
-3.084 -1.529 2.405
-0.437 0.325 -4.353
2.084 -8.982 -0.880
O Ac Tl
6 2 1
direct
0.369 0.684 0.486 O
0.184 0.592 0.947 O
0.114 0.057 0.250 O
0.816 0.408 0.053 O
0.886 0.943 0.750 O
0.631 0.316 0.514 O
0.449 0.724 0.198 Ac
0.551 0.276 0.802 Ac
0.000 0.000 0.500 Tl

***

Entry 3:
Y3MgN (PBE, optimized geometry); E_form (uncorrected) = -0.5472 eV/atom; distance to the lowest polymorph of the same formula = 0.88 eV per formula unit
1.0
-0.203 0.827 6.313
-0.716 -6.655 0.848
5.887 -0.920 -2.252
Y N Mg
6 2 2
direct
0.748 0.750 0.752 Y
0.767 0.500 0.267 Y
0.252 0.250 0.248 Y
0.767 0.000 0.267 Y
0.233 0.000 0.733 Y
0.233 0.500 0.733 Y
0.045 0.250 0.455 N
0.955 0.750 0.545 N
0.738 0.250 0.762 Mg
0.262 0.750 0.238 Mg

***

Computed values of DFT total energy (unit: eV per atom) for the preceding records, in sequence: -6.554, -6.386, -6.410.